(1)
VASP calculation (PBE) on crystalline Li2InGa6 at its relaxed geometry.

a = 3.4853 Å, b = 7.7148 Å, c = 7.7148 Å
α = 58.52°, β = 77.25°, γ = 77.25°
Last column: nearest neighbours and their distance in Å.
Atoms (fractional coordinates):
Li  0.8661  0.6376  0.6376  10 Ga 2.73-3.05
Li  0.1331  0.3624  0.3624  10 Ga 2.73-3.06
Ga  0.4997  0.6731  0.3269  3 Ga 2.59-2.61, 4 Li 2.82
Ga  0.3198  0.3565  0.0023  4 Ga 2.59-2.76, 1 Li 2.73
Ga  0.6809  0.9977  0.6435  4 Ga 2.59-2.76, 1 Li 2.73
Ga  0.4997  0.3269  0.6731  3 Ga 2.59-2.61, 4 Li 2.82
Ga  0.3198  0.0023  0.3565  4 Ga 2.59-2.76, 1 Li 2.73
Ga  0.6809  0.6435  0.9977  4 Ga 2.59-2.76, 1 Li 2.73
In  0.0001  0.0000  0.0000  12 Ga 3.02-3.22

Computed properties:
N(E_F) = 0.1330 states/eV/atom
formation energy from the elements = -116 kJ/mol of formula units

=====

(2)
VASP calculation (PBE) on crystalline TbMgAl at its relaxed geometry.

a = 4.8103 Å, b = 4.8104 Å, c = 7.0713 Å
α = 90.00°, β = 89.99°, γ = 60.00°
Last column: nearest neighbours and their distance in Å.
Atoms (fractional coordinates):
Tb  0.0000  0.5000  0.7618  6 Al 3.25, 6 Mg 3.34, 1 Tb 3.37
Tb  0.0000  0.5000  0.2382  6 Al 3.25, 6 Mg 3.34, 1 Tb 3.37
Al  0.6667  0.1667  0.0005  3 Al 2.78
Al  0.3333  0.8333  0.9995  3 Al 2.78
Mg  0.3333  0.8333  0.5004  3 Mg 2.78
Mg  0.6667  0.1667  0.4996  3 Mg 2.78

Computed properties:
N(E_F) = 1.0279 states/eV/atom
formation energy from the elements = -61 kJ/mol of formula units

=====

(3)
VASP calculation (PBE) on crystalline Sm3Sc2Sb3 at its relaxed geometry.

a = 6.2056 Å, b = 8.9274 Å, c = 8.9274 Å
α = 120.00°, β = 90.00°, γ = 90.00°
Last column: nearest neighbours and their distance in Å.
Atoms (fractional coordinates):
Sc  0.0000  0.6667  0.3333  2 Sc 3.10, 6 Sb 3.15
Sc  0.5000  0.6667  0.3333  2 Sc 3.10, 6 Sb 3.15
Sc  0.0000  0.3333  0.6667  2 Sc 3.10, 6 Sb 3.15
Sc  0.5000  0.3333  0.6667  2 Sc 3.10, 6 Sb 3.15
Sb  0.7500  0.6035  0.0000  5 Sm 3.10-3.38, 4 Sc 3.15
Sb  0.2500  0.3965  0.0000  5 Sm 3.10-3.38, 4 Sc 3.15
Sb  0.7500  0.0000  0.6035  5 Sm 3.10-3.38, 4 Sc 3.15
Sb  0.7500  0.3965  0.3965  5 Sm 3.10-3.38, 4 Sc 3.15
Sb  0.2500  0.0000  0.3965  5 Sm 3.10-3.38, 4 Sc 3.15
Sb  0.2500  0.6035  0.6035  5 Sm 3.10-3.38, 4 Sc 3.15
Sm  0.7500  0.0000  0.2472  5 Sb 3.10-3.38
Sm  0.2500  0.0000  0.7528  5 Sb 3.10-3.38
Sm  0.2500  0.2472  0.2472  5 Sb 3.10-3.38
Sm  0.7500  0.2472  0.0000  5 Sb 3.10-3.38
Sm  0.2500  0.7528  0.0000  5 Sb 3.10-3.38
Sm  0.7500  0.7528  0.7528  5 Sb 3.10-3.38

Computed properties:
N(E_F) = 0.9720 states/eV/atom
E_form (uncorrected) = -0.925 eV per atom

=====

(4)
VASP calculation (PBE) on crystalline Hf3ScHg at its relaxed geometry.

a = 5.2216 Å, b = 5.2216 Å, c = 5.2216 Å
α = 90.00°, β = 90.00°, γ = 90.00°
Last column: nearest neighbours and their distance in Å.
Atoms (fractional coordinates):
Sc  0.5000  0.5000  0.5000  12 Hf 3.69
Hg  0.0000  0.0000  0.0000  6 Hf 2.61
Hf  0.0000  0.5000  0.0000  2 Hg 2.61
Hf  0.0000  0.0000  0.5000  2 Hg 2.61
Hf  0.5000  0.0000  0.0000  2 Hg 2.61

Computed properties:
N(E_F) = 2.0999 states/eV/atom
energy above the lowest structure with this stoichiometry = 0 meV/atom
formation energy from the elements = 502 kJ/mol of formula units

=====

(5)
VASP calculation (PBE) on crystalline BeAl2Ru at its relaxed geometry.

a = 8.2063 Å, b = 8.2063 Å, c = 8.2063 Å
α = 19.79°, β = 19.79°, γ = 19.79°
Last column: nearest neighbours and their distance in Å.
Atoms (fractional coordinates):
Al  0.2432  0.2432  0.2432  3 Be 2.59, 9 Al 2.82-2.86
Al  0.0073  0.0073  0.0073  3 Ru 2.57, 9 Al 2.82-2.86
Ru  0.7562  0.7562  0.7562  3 Be 2.35, 3 Al 2.57
Be  0.4932  0.4932  0.4932  3 Ru 2.35, 3 Al 2.59

Computed properties:
N(E_F) = 0.6470 states/eV/atom
formation energy from the elements = -23 kJ/mol of formula units

=====

(6)
VASP calculation (PBE) on crystalline Pm2Y5Tm at its relaxed geometry.

a = 14.7344 Å, b = 14.7345 Å, c = 9.0402 Å
α = 64.94°, β = 64.94°, γ = 126.65°
Last column: nearest neighbours and their distance in Å.
Atoms (fractional coordinates):
Y  0.9990  0.0640  0.3116  4 Pm 3.27-3.56, 1 Tm 3.43, 5 Y 3.61-3.63
Y  0.3712  0.1936  0.8097  4 Pm 3.42-3.65, 5 Y 3.54-3.66, 1 Tm 3.83
Y  0.1936  0.3712  0.3097  4 Pm 3.42-3.65, 5 Y 3.54-3.66, 1 Tm 3.83
Y  0.5619  0.9968  0.3164  6 Y 3.27-3.64, 2 Pm 3.54-3.57, 3 Tm 3.60-3.61
Y  0.3682  0.6923  0.3149  4 Pm 3.42-3.64, 2 Tm 3.55-3.57, 3 Y 3.62-3.64
Y  0.0640  0.9990  0.8116  4 Pm 3.27-3.56, 1 Tm 3.43, 5 Y 3.61-3.63
Y  0.6923  0.3682  0.8149  4 Pm 3.42-3.64, 2 Tm 3.55-3.57, 3 Y 3.62-3.64
Y  0.9968  0.5619  0.8164  6 Y 3.27-3.64, 2 Pm 3.54-3.57, 3 Tm 3.60-3.61
Y  0.6933  0.8683  0.3134  6 Y 3.42-3.63, 3 Pm 3.61-3.62
Y  0.8683  0.6933  0.8134  6 Y 3.42-3.63, 3 Pm 3.61-3.62
Tm  0.1941  0.8684  0.8129  8 Y 3.43-3.84, 3 Pm 3.59-3.62
Tm  0.8684  0.1941  0.3129  8 Y 3.43-3.84, 3 Pm 3.59-3.62
Pm  0.5642  0.4999  0.8103  11 Y 3.27-3.65
Pm  0.5013  0.0636  0.8109  2 Pm 3.24, 4 Y 3.42-3.61, 3 Tm 3.59-3.62
Pm  0.0636  0.5013  0.3109  2 Pm 3.24, 4 Y 3.42-3.61, 3 Tm 3.59-3.62
Pm  0.4999  0.5642  0.3103  11 Y 3.27-3.65

Computed properties:
N(E_F) = 1.9309 states/eV/atom
energy above the lowest structure with this stoichiometry = 23 meV/atom
formation energy from the elements = 35 kJ/mol of formula units

=====

(7)
VASP calculation (PBE) on crystalline Dy5Ni2Pb5 at its relaxed geometry.

a = 4.5253 Å, b = 8.5884 Å, c = 8.5258 Å
α = 77.65°, β = 74.61°, γ = 74.72°
Last column: nearest neighbours and their distance in Å.
Atoms (fractional coordinates):
Pb  0.0000  0.0000  0.0000  4 Pb 3.21-3.33, 8 Dy 3.52-3.57
Pb  0.0548  0.2494  0.6409  1 Ni 2.73
Pb  0.9452  0.7506  0.3591  1 Ni 2.73
Pb  0.2545  0.7156  0.7754  2 Ni 2.69
Pb  0.7455  0.2844  0.2246  2 Ni 2.69
Dy  0.3680  0.3374  0.9267  3 Ni 3.00-3.09, 3 Pb 3.19-3.31
Dy  0.5000  0.5000  0.5000  6 Pb 3.09-3.17, 4 Ni 3.10
Dy  0.6751  0.9733  0.6764  5 Pb 3.13-3.42, 1 Ni 3.50
Dy  0.6320  0.6626  0.0733  3 Ni 3.00-3.09, 3 Pb 3.19-3.31
Dy  0.3249  0.0267  0.3236  5 Pb 3.13-3.42, 1 Ni 3.50
Ni  0.8541  0.5461  0.7457  3 Pb 2.69-2.73, 1 Dy 3.00
Ni  0.1459  0.4539  0.2543  3 Pb 2.69-2.73, 1 Dy 3.00

Computed properties:
N(E_F) = 0.4998 states/eV/atom
formation energy from the elements = -487 kJ/mol of formula units

=====

(8)
VASP calculation (PBE) on crystalline AcNd2Si at its relaxed geometry.

a = 4.1642 Å, b = 4.1642 Å, c = 9.7791 Å
α = 77.71°, β = 77.71°, γ = 60.00°
Last column: nearest neighbours and their distance in Å.
Atoms (fractional coordinates):
Nd  0.0576  0.0576  0.8272  3 Si 2.93
Nd  0.2749  0.2749  0.1752  3 Si 2.91
Si  0.6657  0.6657  0.0030  6 Nd 2.91-2.93
Ac  0.5018  0.5018  0.4945  6 Nd 3.87-3.97, 6 Ac 4.16

Computed properties:
N(E_F) = 1.0439 states/eV/atom
E_form (uncorrected) = -0.214 eV per atom
energy above the lowest structure with this stoichiometry = 3 meV/atom

=====

(9)
VASP calculation (PBE) on crystalline Sn5Pd12Rh2 at its relaxed geometry.

a = 5.4979 Å, b = 8.0218 Å, c = 8.7157 Å
α = 102.00°, β = 90.00°, γ = 110.04°
Last column: nearest neighbours and their distance in Å.
Atoms (fractional coordinates):
Sn  0.6264  0.2527  0.8770  7 Pd 2.60-2.89, 2 Rh 2.76
Sn  0.3736  0.7473  0.1230  7 Pd 2.60-2.89, 2 Rh 2.76
Sn  0.3064  0.6127  0.6294  7 Pd 2.61-2.70
Sn  0.6936  0.3873  0.3706  7 Pd 2.61-2.70
Sn  0.0000  0.0000  0.5000  6 Pd 2.59-2.66
Pd  0.0360  0.5942  0.8789  3 Sn 2.61-2.89, 5 Pd 2.63-2.87
Pd  0.4029  0.3019  0.6116  4 Sn 2.66-2.78, 3 Pd 2.73-2.83
Pd  0.9164  0.8328  0.7296  1 Sn 2.59, 2 Rh 2.77, 2 Pd 2.77
Pd  0.9640  0.4058  0.1211  3 Sn 2.61-2.89, 5 Pd 2.63-2.87
Pd  0.5971  0.6981  0.3884  4 Sn 2.66-2.78, 3 Pd 2.73-2.83
Pd  0.1010  0.6981  0.3884  4 Sn 2.66-2.78, 3 Pd 2.73-2.83
Pd  0.4418  0.4058  0.1211  3 Sn 2.61-2.89, 5 Pd 2.63-2.87
Pd  0.4816  0.9632  0.6510  2 Sn 2.60-2.61, 1 Pd 2.81
Pd  0.0836  0.1672  0.2704  1 Sn 2.59, 2 Rh 2.77, 2 Pd 2.77
Pd  0.5582  0.5942  0.8789  3 Sn 2.61-2.89, 5 Pd 2.63-2.87
Pd  0.5184  0.0368  0.3490  2 Sn 2.60-2.61, 1 Pd 2.81
Pd  0.8990  0.3019  0.6116  4 Sn 2.66-2.78, 3 Pd 2.73-2.83
Rh  0.2458  0.0000  0.0000  2 Rh 2.70-2.79, 2 Sn 2.76, 4 Pd 2.77-3.01
Rh  0.7542  0.0000  0.0000  2 Rh 2.70-2.79, 2 Sn 2.76, 4 Pd 2.77-3.01

Computed properties:
N(E_F) = 0.5571 states/eV/atom
formation energy from the elements = -390 kJ/mol of formula units

=====

(10)
VASP calculation (PBE) on crystalline MgCd6Hg12 at its relaxed geometry.

a = 8.2660 Å, b = 8.2660 Å, c = 8.2660 Å
α = 106.03°, β = 106.03°, γ = 106.03°
Last column: nearest neighbours and their distance in Å.
Atoms (fractional coordinates):
Hg  0.6358  0.4720  0.1589  3 Hg 3.03-3.22, 4 Cd 3.03-3.25
Hg  0.9771  0.8484  0.2930  4 Hg 3.03-3.22, 1 Mg 3.04, 2 Cd 3.05-3.06
Hg  0.2930  0.9771  0.8484  4 Hg 3.03-3.22, 1 Mg 3.04, 2 Cd 3.05-3.06
Hg  0.1516  0.7070  0.0229  4 Hg 3.03-3.22, 1 Mg 3.04, 2 Cd 3.05-3.06
Hg  0.0229  0.1516  0.7070  4 Hg 3.03-3.22, 1 Mg 3.04, 2 Cd 3.05-3.06
Hg  0.3642  0.5280  0.8411  3 Hg 3.03-3.22, 4 Cd 3.03-3.25
Hg  0.8411  0.3642  0.5280  3 Hg 3.03-3.22, 4 Cd 3.03-3.25
Hg  0.7070  0.0229  0.1516  4 Hg 3.03-3.22, 1 Mg 3.04, 2 Cd 3.05-3.06
Hg  0.1589  0.6358  0.4720  3 Hg 3.03-3.22, 4 Cd 3.03-3.25
Hg  0.5280  0.8411  0.3642  3 Hg 3.03-3.22, 4 Cd 3.03-3.25
Hg  0.8484  0.2930  0.9771  4 Hg 3.03-3.22, 1 Mg 3.04, 2 Cd 3.05-3.06
Hg  0.4720  0.1589  0.6358  3 Hg 3.03-3.22, 4 Cd 3.03-3.25
Cd  0.8353  0.7384  0.5675  6 Hg 3.03-3.25, 2 Cd 3.10, 1 Mg 3.28
Cd  0.1647  0.2616  0.4325  6 Hg 3.03-3.25, 2 Cd 3.10, 1 Mg 3.28
Cd  0.5675  0.8353  0.7384  6 Hg 3.03-3.25, 2 Cd 3.10, 1 Mg 3.28
Cd  0.4325  0.1647  0.2616  6 Hg 3.03-3.25, 2 Cd 3.10, 1 Mg 3.28
Cd  0.2616  0.4325  0.1647  6 Hg 3.03-3.25, 2 Cd 3.10, 1 Mg 3.28
Cd  0.7384  0.5675  0.8353  6 Hg 3.03-3.25, 2 Cd 3.10, 1 Mg 3.28
Mg  0.0000  0.0000  0.0000  6 Hg 3.04, 6 Cd 3.28

Computed properties:
N(E_F) = 0.3312 states/eV/atom
energy above the lowest structure with this stoichiometry = 0 meV/atom
formation energy from the elements = 13 kJ/mol of formula units

=====

(11)
VASP calculation (PBE) on crystalline Ta3GaRu4 at its relaxed geometry.

a = 4.3383 Å, b = 6.5785 Å, c = 8.6763 Å
α = 90.00°, β = 90.00°, γ = 90.00°
Last column: nearest neighbours and their distance in Å.
Atoms (fractional coordinates):
Ga  0.0000  0.5000  0.5000  8 Ru 2.69
Ga  0.0000  0.5000  0.0000  8 Ru 2.69
Ru  0.5000  0.2575  0.5000  6 Ta 2.69-2.75, 2 Ga 2.69
Ru  0.0001  0.2575  0.2500  2 Ga 2.69, 6 Ta 2.69-2.75
Ru  0.5000  0.7425  0.0000  6 Ta 2.69-2.75, 2 Ga 2.69
Ru  0.9999  0.7425  0.7500  2 Ga 2.69, 6 Ta 2.69-2.75
Ru  0.5000  0.7425  0.5000  6 Ta 2.69-2.75, 2 Ga 2.69
Ru  0.5000  0.2575  0.0000  6 Ta 2.69-2.75, 2 Ga 2.69
Ru  0.9999  0.2575  0.7500  2 Ga 2.69, 6 Ta 2.69-2.75
Ru  0.0001  0.7425  0.2500  2 Ga 2.69, 6 Ta 2.69-2.75
Ta  0.5001  0.5000  0.2500  8 Ru 2.69
Ta  0.4999  0.5000  0.7500  8 Ru 2.69
Ta  0.5001  0.0000  0.2500  8 Ru 2.75, 4 Ta 3.07
Ta  0.4999  0.0000  0.7500  8 Ru 2.75, 4 Ta 3.07
Ta  0.0000  0.0000  0.0000  8 Ru 2.75, 4 Ta 3.07
Ta  0.0000  0.0000  0.5000  8 Ru 2.75, 4 Ta 3.07

Computed properties:
N(E_F) = 0.6910 states/eV/atom
formation energy from the elements = -335 kJ/mol of formula units